Entry 1:
Below is a relaxed structure of Cs3VSe4, with properties calculated at the PBE level.

Space-group type: Imm2
Total energy, eV/atom: -4.248
Formation energy from raw total energies, eV per atom: -1.0458

a b c (Å): 7.751 7.751 7.751
angles (deg): 91.68 115.82 122.34
Fractional coordinates of all 8 atoms:
Cs  0.577  0.241  0.817
Cs  0.993  0.000  0.993
Cs  0.577  0.759  0.336
Se  0.160  0.323  0.483
Se  0.160  0.677  0.837
Se  0.088  0.747  0.341
Se  0.594  0.253  0.341
V  0.003  0.500  0.503



Entry 2:
Below is a relaxed structure of CsV3Se, with properties calculated at the PBE level.

Space-group type: Pm-3m
Total energy, eV/atom: -3.813
Formation energy from raw total energies, eV per atom: 2.5262
Relative energy among the computed polymorphs, meV per atom: 1419.2

a b c (Å): 4.794 4.794 4.794
angles (deg): 90.00 90.00 90.00
Fractional coordinates of all 5 atoms:
Se  0.500  0.500  0.500
V  0.500  0.000  0.000
V  0.000  0.500  0.000
V  0.000  0.000  0.500
Cs  0.000  0.000  0.000



Entry 3:
Below is a relaxed structure of Cs4VSe5, with properties calculated at the PBE level.

Space-group type: I4
Total energy, eV/atom: -3.897
Formation energy from raw total energies, eV per atom: -0.9014

a b c (Å): 8.482 8.482 8.482
angles (deg): 100.35 100.35 129.84
Fractional coordinates of all 10 atoms:
Se  0.933  0.207  0.140
Se  0.793  0.933  0.726
Se  0.207  0.067  0.274
Se  0.067  0.793  0.860
Se  0.592  0.592  0.000
Cs  0.594  0.201  0.800
Cs  0.201  0.401  0.607
Cs  0.401  0.794  0.200
Cs  0.794  0.594  0.393
V  0.910  0.910  0.000